(1)
Computed, not measured: Tl2SiAu after structural relaxation at the PBE level of DFT.

It has space group P4/mmm (No. 123), with a = 3.799 Å, b = 3.799 Å, c = 6.553 Å, α = 90.00°, β = 90.00° and γ = 90.00°. The inequivalent atoms are Tl at (0.000, 0.000, 0.250), Si at (0.500, 0.500, 0.000) and Au at (0.500, 0.500, 0.500).

As for the calculated total energy: -11.95 eV/cell. The uncorrected formation energy comes out at 0.372 eV per atom.

---

(2)
Computed, not measured: Rb2AlSiAu6 after structural relaxation at the PBE level of DFT.

It has space group P-1 (No. 2), with a = 6.896 Å, b = 6.920 Å, c = 7.137 Å, α = 61.18°, β = 61.25° and γ = 60.19°. The inequivalent atoms are Rb at (0.209, 0.210, 0.373), Al at (0.500, 0.500, 0.500), Si at (0.000, 0.000, 0.000), Au at (0.246, 0.667, 0.838), Au at (0.247, 0.247, 0.842) and Au at (0.334, 0.754, 0.161).

As for the calculated total energy: -33.57 eV/cell. The uncorrected formation energy comes out at -0.280 eV per atom.

---

(3)
Computed, not measured: YTeSe2Br after structural relaxation at the PBE level of DFT.

It has space group P4/mmm (No. 123), with a = 5.564 Å, b = 5.564 Å, c = 5.318 Å, α = 90.00°, β = 90.00° and γ = 90.00°. The inequivalent atoms are Y at (0.000, 0.000, 0.000), Te at (0.500, 0.500, 0.500), Se at (0.000, 0.500, 0.000) and Br at (0.000, 0.000, 0.500).

As for the calculated total energy: -20.58 eV/cell. The uncorrected formation energy comes out at -0.467 eV per atom.

---

(4)
Computed, not measured: KTcOs2 after structural relaxation at the PBE level of DFT.

It has space group Pmmm (No. 47), with a = 2.724 Å, b = 4.857 Å, c = 5.043 Å, α = 90.00°, β = 90.00° and γ = 90.00°. The inequivalent atoms are K at (0.000, 0.000, 0.000), Tc at (0.500, 0.500, 0.000), Os at (0.000, 0.500, 0.500) and Os at (0.500, 0.000, 0.500).

As for the formation enthalpy at 0 K: 1.609 eV per atom. As for the calculated total energy: -27.49 eV/cell.

---

(5)
Computed, not measured: BaGeSe2 after structural relaxation at the PBE level of DFT.

It has space group P1 (No. 1), with a = 5.193 Å, b = 7.099 Å, c = 8.004 Å, α = 65.87°, β = 82.74° and γ = 79.55°. The inequivalent atoms are Ba at (0.000, 0.000, 0.000), Ba at (0.472, 0.624, 0.648), Ge at (0.437, 0.274, 0.372), Ge at (0.678, 0.582, 0.161), Se at (0.020, 0.522, 0.383), Se at (0.436, 0.013, 0.256), Se at (0.513, 0.095, 0.697) and Se at (0.948, 0.494, 0.920).

As for the calculated total energy: -35.68 eV/cell. The uncorrected formation energy comes out at -1.083 eV per atom.

---

(6)
Computed, not measured: Sr2CaNiHg after structural relaxation at the PBE level of DFT.

It has space group P4/mmm (No. 123), with a = 5.757 Å, b = 5.757 Å, c = 5.355 Å, α = 90.00°, β = 90.00° and γ = 90.00°. The inequivalent atoms are Sr at (0.000, 0.500, 0.000), Ca at (0.000, 0.000, 0.500), Ni at (0.000, 0.000, 0.000) and Hg at (0.500, 0.500, 0.500).

As for the formation enthalpy at 0 K: -0.114 eV per atom. As for the calculated total energy: -12.02 eV/cell.